1.
Here is crystalline Nb4V2Ga at its relaxed geometry from Alexandria via LeMat-Bulk. Energies are from PBE.

The structure belongs to space group I4/mmm (No. 139); the cell edges are 4.729, 4.729 and 12.465 Å and the angles 90.00°, 90.00° and 90.00°. The distinct sites, in fractional coordinates, are Nb at (0.000, 0.000, 0.202), Nb at (0.000, 0.500, 0.000), V at (0.000, 0.000, 0.386) and Ga at (0.000, 0.000, 0.000).

The crystal system is tetragonal. The formation energy is 1.0383 eV/atom.

=====

2.
Here is crystalline Nb4VGa3 at its relaxed geometry from Alexandria via LeMat-Bulk. Energies are from PBE.

The structure belongs to space group I4/mcm (No. 140); the cell edges are 10.242, 10.242 and 5.024 Å and the angles 90.00°, 90.00° and 90.00°. The distinct sites, in fractional coordinates, are Nb at (0.079, 0.223, 0.000), V at (0.000, 0.500, 0.250), Ga at (0.000, 0.000, 0.250) and Ga at (0.158, 0.342, 0.500).

The crystal system is tetragonal. The formation energy is -0.3408 eV/atom.

=====

3.
Here is crystalline Nb2V3Ga2 at its relaxed geometry from Alexandria via LeMat-Bulk. Energies are from PBE.

The structure belongs to space group C2/m (No. 12); the cell edges are 9.335, 4.400 and 5.279 Å and the angles 90.00°, 94.18° and 90.00°. The distinct sites, in fractional coordinates, are Nb at (0.084, 0.000, 0.284), V at (0.000, 0.500, 0.000), V at (0.123, 0.500, 0.560) and Ga at (0.211, 0.000, 0.823).

The crystal system is monoclinic. The formation energy is -0.1024 eV/atom.

=====

4.
Here is crystalline Nb2V3Ga at its relaxed geometry from Alexandria via LeMat-Bulk. Energies are from PBE.

The structure belongs to space group R-3m (No. 166, hexagonal axes); the cell edges are 4.9235, 4.9235 and 13.0879 Å and the angles 90.00°, 90.00° and 120.00°. The distinct sites, in fractional coordinates, are Nb at (0.0000, 0.0000, 0.1258), V at (0.0000, 0.5000, 0.0000) and Ga at (0.0000, 0.0000, 0.5000).

The crystal system is trigonal. The formation energy is -0.1606 eV/atom.

=====

5.
Here is crystalline Nb2V2Ga at its relaxed geometry from Alexandria via LeMat-Bulk. Energies are from PBE.

The structure belongs to space group P4/mbm (No. 127); the cell edges are 6.789, 6.789 and 3.521 Å and the angles 90.00°, 90.00° and 90.00°. The distinct sites, in fractional coordinates, are Nb at (0.184, 0.316, 0.000), V at (0.120, 0.620, 0.500) and Ga at (0.000, 0.000, 0.500).

The crystal system is tetragonal. The formation energy is 0.0676 eV/atom. For the relative energy among the computed polymorphs, the calculation gives 0 meV/atom.

=====

6.
Here is crystalline NbVGa2 at its relaxed geometry from Alexandria via LeMat-Bulk. Energies are from PBE.

The structure belongs to space group Fm-3m (No. 225); the cell edges are 6.324, 6.324 and 6.324 Å and the angles 90.00°, 90.00° and 90.00°. The distinct sites, in fractional coordinates, are Nb at (0.000, 0.000, 0.000), V at (0.000, 0.000, 0.500) and Ga at (0.250, 0.250, 0.250).

The crystal system is cubic. The formation energy is -0.0236 eV/atom. For the relative energy among the computed polymorphs, the calculation gives 194 meV/atom.

=====

7.
Here is crystalline Nb2VGa3 at its relaxed geometry from Alexandria via LeMat-Bulk. Energies are from PBE.

The structure belongs to space group Cmcm (No. 63); the cell edges are 8.271, 8.954 and 5.341 Å and the angles 90.00°, 90.00° and 90.00°. The distinct sites, in fractional coordinates, are Nb at (0.170, 0.234, 0.250), V at (0.000, 0.269, 0.750), Ga at (0.000, 0.000, 0.000) and Ga at (0.162, 0.500, 0.000).

The crystal system is orthorhombic. The formation energy is -0.0811 eV/atom.

=====

8.
Here is crystalline NbV5Ga2 at its relaxed geometry from Alexandria via LeMat-Bulk. Energies are from PBE.

The structure belongs to space group Pbam (No. 55); the cell edges are 5.280, 10.418 and 4.168 Å and the angles 90.00°, 90.00° and 90.00°. The distinct sites, in fractional coordinates, are Nb at (0.000, 0.000, 0.000), V at (0.000, 0.500, 0.000), V at (0.090, 0.259, 0.000), V at (0.196, 0.869, 0.500) and Ga at (0.199, 0.621, 0.500).

The crystal system is orthorhombic. The formation energy is -0.1466 eV/atom.

=====

9.
Here is crystalline NbV3Ga4 at its relaxed geometry from Alexandria via LeMat-Bulk. Energies are from PBE.

The structure belongs to space group Pmn2_1 (No. 31); the cell edges are 8.082, 5.465 and 5.444 Å and the angles 90.00°, 90.00° and 90.00°. The distinct sites, in fractional coordinates, are Nb at (0.000, 0.010, 0.000), V at (0.000, 0.507, 0.976), V at (0.243, 0.751, 0.742), Ga at (0.000, 0.003, 0.496), Ga at (0.000, 0.498, 0.474) and Ga at (0.250, 0.258, 0.739).

The crystal system is orthorhombic. The formation energy is -0.1105 eV/atom.

=====

10.
Here is crystalline NbVGa2 at its relaxed geometry from Alexandria via LeMat-Bulk. Energies are from PBE.

The structure belongs to space group P4/mmm (No. 123); the cell edges are 3.877, 3.877 and 4.092 Å and the angles 90.00°, 90.00° and 90.00°. The distinct sites, in fractional coordinates, are Nb at (0.000, 0.000, 0.000), V at (0.500, 0.500, 0.000) and Ga at (0.000, 0.500, 0.500).

The crystal system is tetragonal. The formation energy is -0.2123 eV/atom. For the relative energy among the computed polymorphs, the calculation gives 5 meV/atom.

=====

11.
Here is crystalline Nb3V4Ga4 at its relaxed geometry from Alexandria via LeMat-Bulk. Energies are from PBE.

The structure belongs to space group Immm (No. 71); the cell edges are 3.330, 7.671 and 13.763 Å and the angles 90.00°, 90.00° and 90.00°. The distinct sites, in fractional coordinates, are Nb at (0.000, 0.000, 0.000), Nb at (0.000, 0.500, 0.129), V at (0.000, 0.273, 0.323), Ga at (0.000, 0.000, 0.212) and Ga at (0.000, 0.194, 0.500).

The crystal system is orthorhombic. The formation energy is -0.0999 eV/atom.

=====

12.
Here is crystalline NbV4Ga4 at its relaxed geometry from Alexandria via LeMat-Bulk. Energies are from PBE.

The structure belongs to space group P4_2/n (No. 86, origin choice 2); the cell edges are 7.542, 7.542 and 4.883 Å and the angles 90.00°, 90.00° and 90.00°. The distinct sites, in fractional coordinates, are Nb at (0.250, 0.250, 0.250), V at (0.060, 0.126, 0.679) and Ga at (0.094, 0.803, 0.837).

The crystal system is tetragonal. The formation energy is 0.0285 eV/atom.

=====

13.
Here is crystalline NbVGa2 at its relaxed geometry from Alexandria via LeMat-Bulk. Energies are from PBE.

The structure belongs to space group P4/mmm (No. 123); the cell edges are 2.767, 2.767 and 8.079 Å and the angles 90.00°, 90.00° and 90.00°. The distinct sites, in fractional coordinates, are Nb at (0.000, 0.000, 0.000), V at (0.000, 0.000, 0.500) and Ga at (0.500, 0.500, 0.263).

The crystal system is tetragonal. The formation energy is -0.1808 eV/atom. For the relative energy among the computed polymorphs, the calculation gives 36 meV/atom.

=====

14.
Here is crystalline NbV2Ga at its relaxed geometry from Alexandria via LeMat-Bulk. Energies are from PBE.

The structure belongs to space group P4/mmm (No. 123); the cell edges are 3.234, 3.234 and 5.764 Å and the angles 90.00°, 90.00° and 90.00°. The distinct sites, in fractional coordinates, are Nb at (0.000, 0.000, 0.000), V at (0.500, 0.500, 0.256) and Ga at (0.000, 0.000, 0.500).

The crystal system is tetragonal. The formation energy is -0.1434 eV/atom.

=====

15.
Here is crystalline NbV2Ga at its relaxed geometry from Alexandria via LeMat-Bulk. Energies are from PBE.

The structure belongs to space group I-42d (No. 122); the cell edges are 7.042, 7.042 and 5.228 Å and the angles 90.00°, 90.00° and 90.00°. The distinct sites, in fractional coordinates, are Nb at (0.000, 0.000, 0.000), V at (0.237, 0.250, 0.625) and Ga at (0.000, 0.000, 0.500).

The crystal system is tetragonal. The formation energy is 0.4659 eV/atom.

=====

16.
Here is crystalline Nb2V5Ga3 at its relaxed geometry from Alexandria via LeMat-Bulk. Energies are from PBE.

The structure belongs to space group P-1 (No. 2); the cell edges are 5.121, 7.654 and 8.033 Å and the angles 72.29°, 86.46° and 89.71°. The distinct sites, in fractional coordinates, are Nb at (0.121, 0.382, 0.121), Nb at (0.361, 0.122, 0.374), V at (0.046, 0.679, 0.236), V at (0.111, 0.028, 0.694), V at (0.272, 0.420, 0.492), V at (0.325, 0.774, 0.935), V at (0.496, 0.822, 0.270), Ga at (0.162, 0.746, 0.550), Ga at (0.216, 0.070, 0.031) and Ga at (0.417, 0.490, 0.798).

The crystal system is triclinic. The formation energy is -0.1240 eV/atom.

=====

17.
Here is crystalline NbVGa2 at its relaxed geometry from Alexandria via LeMat-Bulk. Energies are from PBE.

The structure belongs to space group I-42d (No. 122); the cell edges are 6.993, 6.993 and 5.427 Å and the angles 90.00°, 90.00° and 90.00°. The distinct sites, in fractional coordinates, are Nb at (0.000, 0.000, 0.000), V at (0.000, 0.000, 0.500) and Ga at (0.236, 0.750, 0.625).

The crystal system is tetragonal. The formation energy is 0.0924 eV/atom. For the relative energy among the computed polymorphs, the calculation gives 310 meV/atom.

=====

18.
Here is crystalline Nb3VGa at its relaxed geometry from Alexandria via LeMat-Bulk. Energies are from PBE.

The structure belongs to space group Pm-3m (No. 221); the cell edges are 4.748, 4.748 and 4.748 Å and the angles 90.00°, 90.00° and 90.00°. The distinct sites, in fractional coordinates, are Nb at (0.000, 0.000, 0.500), V at (0.500, 0.500, 0.500) and Ga at (0.000, 0.000, 0.000).

The crystal system is cubic. The formation energy is 1.2475 eV/atom. For the relative energy among the computed polymorphs, the calculation gives 1238 meV/atom.

=====

19.
Here is crystalline Nb14VGa at its relaxed geometry from Alexandria via LeMat-Bulk. Energies are from PBE.

The structure belongs to space group P4/mmm (No. 123); the cell edges are 6.593, 6.593 and 6.583 Å and the angles 90.00°, 90.00° and 90.00°. The distinct sites, in fractional coordinates, are Nb at (0.000, 0.000, 0.000), Nb at (0.000, 0.500, 0.000), Nb at (0.000, 0.500, 0.500), Nb at (0.246, 0.246, 0.251), Nb at (0.500, 0.500, 0.000), V at (0.000, 0.000, 0.500) and Ga at (0.500, 0.500, 0.500).

The crystal system is tetragonal. The formation energy is -0.0397 eV/atom.

=====

20.
Here is crystalline NbV2Ga at its relaxed geometry from Alexandria via LeMat-Bulk. Energies are from PBE.

The structure belongs to space group P4/mmm (No. 123); the cell edges are 4.195, 4.195 and 3.394 Å and the angles 90.00°, 90.00° and 90.00°. The distinct sites, in fractional coordinates, are Nb at (0.000, 0.000, 0.000), V at (0.000, 0.500, 0.500) and Ga at (0.500, 0.500, 0.000).

The crystal system is tetragonal. The formation energy is -0.1656 eV/atom.